(1)
Computed, not measured: Ti4MnAl2 after structural relaxation at the PBE level of DFT.

For the volume, the calculation gives 18.6 Å³ per atom.

The structure belongs to space group I4/mmm (No. 139); the cell edges are 4.301, 4.301 and 14.107 Å and the angles 90.00°, 90.00° and 90.00°. Symmetry generates all atoms from Ti at (0.000, 0.000, 0.174), Ti at (0.000, 0.500, 0.000), Mn at (0.000, 0.000, 0.000) and Al at (0.000, 0.000, 0.365).

---

(2)
Computed, not measured: TiMn2Mo after structural relaxation at the PBE level of DFT.

For the volume, the calculation gives 14.5 Å³ per atom. The energy above the most stable polymorph in this dataset comes out at 826 meV/atom.

The structure belongs to space group Immm (No. 71); the cell edges are 2.766, 4.389 and 9.576 Å and the angles 90.00°, 90.00° and 90.00°. Symmetry generates all atoms from Ti at (0.000, 0.000, 0.000), Mn at (0.000, 0.000, 0.256) and Mo at (0.000, 0.000, 0.500).

---

(3)
Computed, not measured: BeAlFe after structural relaxation at the PBE level of DFT.

For the volume, the calculation gives 10.9 Å³ per atom. The energy above the most stable polymorph in this dataset comes out at 81 meV/atom.

The structure belongs to space group P3m1 (No. 156); the cell edges are 3.8561, 3.8561 and 2.5379 Å and the angles 90.00°, 90.00° and 120.00°. Symmetry generates all atoms from Be at (0.0000, 0.0000, 0.0000), Al at (0.6667, 0.3333, 0.7083) and Fe at (0.3333, 0.6667, 0.2763).

---

Per-record uncorrected energy, eV per formula unit: -46.41; -34.54; -16.34